{
  "formula": "Tb4GaAg",
  "functional": "PBE",
  "state": "optimized geometry",
  "dos_ef_per_ev_cell": 12.5,
  "crystal_system": "orthorhombic",
  "e_form_mev_per_atom": -81.8,
  "lattice_angstrom": [[5.1172, 0.0000, 0.0000], [0.0000, 6.3352, 0.0000], [-2.5586, 0.0000, 10.9830]],
  "species": ["Ga", "Ga", "Ag", "Ag", "Tb", "Tb", "Tb", "Tb", "Tb", "Tb", "Tb", "Tb"],
  "frac_coords": [[0.8401, 0.8120, 0.6802], [0.1599, 0.3120, 0.3198], [0.4311, 0.3549, 0.8622], [0.5689, 0.8549, 0.1378], [0.5638, 0.3622, 0.1275], [0.1246, 0.7855, 0.2493], [0.6912, 0.0687, 0.3823], [0.4362, 0.8622, 0.8725], [0.3088, 0.5687, 0.6177], [0.2840, 0.0502, 0.5680], [0.7160, 0.5502, 0.4320], [0.8754, 0.2855, 0.7507]]
}



{
  "formula": "Tb3GaAg2",
  "functional": "PBE",
  "state": "optimized geometry",
  "dos_ef_per_ev_cell": 3.5,
  "crystal_system": "tetragonal",
  "e_form_mev_per_atom": -408.8,
  "lattice_angstrom": [[3.6095, 0.0000, 0.0000], [0.0000, 3.6095, 0.0000], [0.0000, 0.0000, 11.0072]],
  "species": ["Ag", "Ag", "Tb", "Tb", "Tb", "Ga"],
  "frac_coords": [[0.5000, 0.5000, 0.8299], [0.5000, 0.5000, 0.1701], [0.0000, 0.0000, 0.0000], [0.0000, 0.0000, 0.6609], [0.0000, 0.0000, 0.3391], [0.5000, 0.5000, 0.5000]]
}



{
  "formula": "Tb2Ga3Ag5",
  "functional": "PBE",
  "state": "optimized geometry",
  "relative_energy_mev_per_atom": 27,
  "dos_ef_per_ev_cell": 9.5,
  "crystal_system": "orthorhombic",
  "e_form_mev_per_atom": -269.6,
  "lattice_angstrom": [[-2.2454, -1.3244, -5.2350], [-0.5829, -8.8145, -0.7866], [-8.8508, -0.0987, 0.5548]],
  "species": ["Ga", "Ga", "Ga", "Ga", "Ga", "Ga", "Ag", "Ag", "Ag", "Ag", "Ag", "Ag", "Ag", "Ag", "Ag", "Ag", "Tb", "Tb", "Tb", "Tb"],
  "frac_coords": [[0.7500, 0.0000, 0.0000], [0.8686, 0.7679, 0.4948], [0.6314, 0.5052, 0.2321], [0.1314, 0.2321, 0.5052], [0.3686, 0.4948, 0.7679], [0.2500, 0.0000, 0.0000], [0.8933, 0.9534, 0.2601], [0.1067, 0.0466, 0.7399], [0.9930, 0.7570, 0.7570], [0.7500, 0.5000, 0.5000], [0.6067, 0.7399, 0.0466], [0.4930, 0.7570, 0.7570], [0.0070, 0.2430, 0.2430], [0.5070, 0.2430, 0.2430], [0.3933, 0.2601, 0.9534], [0.2500, 0.5000, 0.5000], [0.6315, 0.1349, 0.6020], [0.3685, 0.8651, 0.3980], [0.1315, 0.6020, 0.1349], [0.8685, 0.3980, 0.8651]]
}